This record from the Alexandria database describes a relaxed Er6Cd2C crystal. The functional is PBE.

Summary:
- Calculated total energy: -4.55 eV/atom
- Crystal system: monoclinic

```
Er6Cd2C
1.0
6.8959 0.0000 -0.1779
0.0000 6.8900 0.0000
0.2598 0.0000 9.6638
Er Cd C
12 4 2
Direct
0.2555 0.7443 0.0341 Er
0.0662 0.9998 0.7447 Er
0.7445 0.2557 0.9659 Er
0.7555 0.7557 0.5341 Er
0.7572 0.2459 0.5341 Er
0.4338 0.4998 0.7553 Er
0.7428 0.7459 0.9659 Er
0.2445 0.2443 0.4659 Er
0.5662 0.5002 0.2447 Er
0.2572 0.2541 0.0341 Er
0.9338 0.0002 0.2553 Er
0.2428 0.7541 0.4659 Er
0.5039 0.0008 0.7512 Cd
0.4961 0.9992 0.2488 Cd
0.0039 0.4992 0.2512 Cd
0.9961 0.5008 0.7488 Cd
0.5000 0.5000 0.0000 C
0.0000 0.0000 0.5000 C
```